Compound: Tb10Pr4Th
Source: the Alexandria database
Functional: PBE
Structure: optimized geometry

N(E_F)   1.526 states/eV/atom
ΔH_f (0 K)   0.3749 eV/atom
Calculated density   7770 kg/m³
Volume   1019 Å³/cell
Crystal system   tetragonal

a = 9.7780 Å, b = 9.7780 Å, c = 10.6616 Å
α = 90.00°, β = 90.00°, γ = 90.00°
Space group I4/m (No. 87)
One atom of each set of equivalent atoms:
Tb1 0.0000 0.5000 0.2500
Tb2 0.1166 0.2071 0.1607
Pr1 0.0613 0.3314 0.5000
Th1 0.0000 0.0000 0.5000